No. 1
DFT (PBE) results for a relaxed structure of KLaN2O.

Cell and atoms, written as POSCAR:
```
KLaN2O
1.0
-1.112 2.543 -4.123
-4.835 -0.844 0.784
-0.272 3.815 2.426
La N K O
1 2 1 1
Direct
0.000 0.000 0.000
0.000 0.500 0.000
0.500 0.000 0.000
0.500 0.500 0.500
0.000 0.000 0.500
```

- symmetry = P4/mmm (123)

No. 2
DFT (PBE) results for a relaxed structure of KLaNO2.

Cell and atoms, written as POSCAR:
```
KLaNO2
1.0
-0.627 3.646 2.427
-3.360 -1.973 2.096
2.664 -1.466 2.890
La N O K
1 1 2 1
Direct
0.500 0.500 0.500
0.000 0.000 0.500
0.000 0.500 0.000
0.500 0.000 0.000
0.000 0.000 0.000
```

- symmetry = P4/mmm (123)

no.,uncorrected formation energy (meV/atom),V (Å³/cell)
1,-78,111.9
2,29,82.1